Entry 1:
Below is crystalline PmAg12 at its relaxed geometry, with properties calculated at the PBE level.

Values from the calculation:
DFT total energy: -3.026 eV per atom
Energy relative to the elements: -28 meV/atom
ΔE to the lowest computed polymorph: 0 meV/atom
Symmetry: I4/mmm, No. 139
Total magnetic moment: 0.000 μB/cell

Cell: 7.335 7.335 7.335 Å, 98.17 98.17 135.70°
Sites, in units of the cell vectors:
Pm  0.000  0.000  0.000
Ag  0.000  0.000  0.500
Ag  0.000  0.351  0.351
Ag  0.000  0.500  0.000
Ag  0.000  0.649  0.649
Ag  0.286  0.500  0.786
Ag  0.351  0.000  0.351
Ag  0.500  0.000  0.000
Ag  0.500  0.286  0.786
Ag  0.500  0.500  0.500
Ag  0.500  0.714  0.214
Ag  0.649  0.000  0.649
Ag  0.714  0.500  0.214

***

Entry 2:
Below is crystalline Ga3BiRu at its relaxed geometry, with properties calculated at the PBE level.

Values from the calculation:
DFT total energy: -4.303 eV per atom
Energy relative to the elements: 145 meV/atom
ΔE to the lowest computed polymorph: 0 meV/atom
Symmetry: Pm-3m, No. 221
Total magnetic moment: 0.794 μB/cell

Cell: 4.895 4.895 4.895 Å, 90.00 90.00 90.00°
Sites, in units of the cell vectors:
Ga  0.000  0.000  0.500
Ga  0.000  0.500  0.000
Ga  0.500  0.000  0.000
Bi  0.500  0.500  0.500
Ru  0.000  0.000  0.000

***

Entry 3:
Below is crystalline PuTh2FeN5 at its relaxed geometry, with properties calculated at the PBE level.

Values from the calculation:
DFT total energy: -9.788 eV per atom
Symmetry: I4/mcm, No. 140
Raw formation energy: -8.83 eV per formula unit
Total magnetic moment: 15.302 μB/cell

Cell: 7.350 7.350 7.350 Å, 125.38 125.38 80.91°
Sites, in units of the cell vectors:
Pu  0.250  0.250  0.000
Pu  0.750  0.750  0.000
Th  0.175  0.675  0.849
Th  0.325  0.175  0.500
Th  0.675  0.825  0.500
Th  0.825  0.325  0.151
Fe  0.250  0.750  0.500
Fe  0.750  0.250  0.500
N  0.000  0.000  0.000
N  0.000  0.212  0.500
N  0.000  0.788  0.500
N  0.212  0.712  0.212
N  0.288  0.500  0.500
N  0.500  0.000  0.212
N  0.500  0.000  0.788
N  0.500  0.500  0.000
N  0.712  0.500  0.500
N  0.788  0.288  0.788

***

Entry 4:
Below is crystalline Ga2PtN at its relaxed geometry, with properties calculated at the PBE level.

Values from the calculation:
DFT total energy: -5.302 eV per atom
Symmetry: I-42d, No. 122
Raw formation energy: -0.79 eV per formula unit
Total magnetic moment: 0.000 μB/cell

Cell: 5.536 5.536 5.536 Å, 118.78 118.78 92.12°
Sites, in units of the cell vectors:
Ga  0.048  0.625  0.923
Ga  0.375  0.298  0.423
Ga  0.702  0.125  0.077
Ga  0.875  0.952  0.577
Pt  0.250  0.750  0.500
Pt  0.500  0.500  0.000
N  0.000  0.000  0.000
N  0.750  0.250  0.500

***

Entry 5:
Below is crystalline SrBiSCl2 at its relaxed geometry, with properties calculated at the PBE level.

Values from the calculation:
DFT total energy: -3.553 eV per atom
ΔE to the lowest computed polymorph: 0 meV/atom
Symmetry: P4/mmm, No. 123
Raw formation energy: -4.38 eV per formula unit
Total magnetic moment: 0.000 μB/cell

Cell: 5.491 5.491 5.517 Å, 90.00 90.00 90.00°
Sites, in units of the cell vectors:
Sr  0.000  0.000  0.000
Bi  0.500  0.500  0.500
S  0.500  0.500  0.000
Cl  0.000  0.500  0.500
Cl  0.500  0.000  0.500

***

Entry 6:
Below is crystalline BiSe at its relaxed geometry, with properties calculated at the PBE level.

Values from the calculation:
DFT total energy: -3.684 eV per atom
ΔE to the lowest computed polymorph: 323 meV/atom
Symmetry: Fddd, No. 70
Raw formation energy: 0.00 eV per formula unit
Total magnetic moment: 0.000 μB/cell

Cell: 9.280 9.262 6.811 Å, 68.59 68.31 43.10°
Sites, in units of the cell vectors:
Bi  0.008  0.008  0.742
Bi  0.258  0.258  0.992
Bi  0.742  0.742  0.008
Bi  0.992  0.992  0.258
Se  0.079  0.671  0.671
Se  0.329  0.921  0.921
Se  0.671  0.079  0.079
Se  0.921  0.329  0.329

***

Entry 7:
Below is crystalline Pm6DyErTm2 at its relaxed geometry, with properties calculated at the PBE level.

Values from the calculation:
DFT total energy: -4.543 eV per atom
Energy relative to the elements: 118 meV/atom
Symmetry: C2/c, No. 15
Total magnetic moment: 0.000 μB/cell

Cell: 8.879 8.879 9.577 Å, 93.84 93.84 117.55°
Sites, in units of the cell vectors:
Pm  0.011  0.563  0.186
Pm  0.116  0.762  0.554
Pm  0.238  0.884  0.946
Pm  0.293  0.511  0.382
Pm  0.437  0.989  0.314
Pm  0.489  0.707  0.118
Pm  0.511  0.293  0.882
Pm  0.563  0.011  0.686
Pm  0.707  0.489  0.618
Pm  0.762  0.116  0.054
Pm  0.884  0.238  0.446
Pm  0.989  0.437  0.814
Dy  0.410  0.590  0.750
Dy  0.590  0.410  0.250
Er  0.029  0.971  0.250
Er  0.971  0.029  0.750
Tm  0.200  0.297  0.046
Tm  0.297  0.200  0.546
Tm  0.703  0.800  0.454
Tm  0.800  0.703  0.954

***

Entry 8:
Below is crystalline Mg2TaMo at its relaxed geometry, with properties calculated at the PBE level.

Values from the calculation:
DFT total energy: -6.091 eV per atom
Energy relative to the elements: 377 meV/atom
ΔE to the lowest computed polymorph: 228 meV/atom
Symmetry: I-4m2, No. 119
Total magnetic moment: 0.000 μB/cell

Cell: 4.664 4.664 4.664 Å, 119.94 119.94 90.11°
Sites, in units of the cell vectors:
Mg  0.000  0.000  0.000
Mg  0.750  0.250  0.500
Ta  0.250  0.750  0.500
Mo  0.500  0.500  0.000

***

Entry 9:
Below is crystalline In2Te2Au at its relaxed geometry, with properties calculated at the PBE level.

Values from the calculation:
DFT total energy: -2.907 eV per atom
ΔE to the lowest computed polymorph: 282 meV/atom
Symmetry: I4/mmm, No. 139
Raw formation energy: 0.50 eV per formula unit
Total magnetic moment: 0.000 μB/cell

Cell: 9.159 9.159 9.159 Å, 153.12 153.12 38.38°
Sites, in units of the cell vectors:
In  0.088  0.088  0.000
In  0.912  0.912  0.000
Te  0.250  0.750  0.500
Te  0.750  0.250  0.500
Au  0.500  0.500  0.000

***

Entry 10:
Below is crystalline Ca4SmPd5 at its relaxed geometry, with properties calculated at the PBE level.

Values from the calculation:
DFT total energy: -4.584 eV per atom
Energy relative to the elements: -715 meV/atom
Symmetry: P4/mmm, No. 123
Total magnetic moment: 0.000 μB/cell

Cell: 3.554 3.554 17.650 Å, 90.00 90.00 90.00°
Sites, in units of the cell vectors:
Ca  0.000  0.000  0.099
Ca  0.000  0.000  0.296
Ca  0.000  0.000  0.704
Ca  0.000  0.000  0.901
Sm  0.000  0.000  0.500
Pd  0.500  0.500  0.000
Pd  0.500  0.500  0.198
Pd  0.500  0.500  0.404
Pd  0.500  0.500  0.596
Pd  0.500  0.500  0.802

***

Entry 11:
Below is crystalline Pm4B3Pt12Au at its relaxed geometry, with properties calculated at the PBE level.

Values from the calculation:
DFT total energy: -6.338 eV per atom
Energy relative to the elements: -598 meV/atom
Symmetry: Im-3m, No. 229
Total magnetic moment: 0.000 μB/cell

Cell: 7.835 7.835 7.835 Å, 109.47 109.47 109.47°
Sites, in units of the cell vectors:
Pm  0.000  0.000  0.500
Pm  0.000  0.500  0.000
Pm  0.500  0.000  0.000
Pm  0.500  0.500  0.500
B  0.000  0.500  0.500
B  0.500  0.000  0.500
B  0.500  0.500  0.000
Pt  0.000  0.284  0.284
Pt  0.000  0.716  0.716
Pt  0.250  0.500  0.750
Pt  0.250  0.750  0.500
Pt  0.284  0.000  0.284
Pt  0.284  0.284  0.000
Pt  0.500  0.250  0.750
Pt  0.500  0.750  0.250
Pt  0.716  0.000  0.716
Pt  0.716  0.716  0.000
Pt  0.750  0.250  0.500
Pt  0.750  0.500  0.250
Au  0.000  0.000  0.000